This record from Alexandria describes a geometry-optimized ZrMn3N structure. The functional is GGA-PBE.

Properties
Formation energy without anion corrections (eV/atom): -0.258
M_tot (μB/cell): 1.7
Crystal system: cubic
Relative energy among the computed polymorphs (eV/f.u.): 0.00
Raw total energy (eV per atom): -9.134
Symmetry: Pm-3m, No. 221

Cell: 3.8814 3.8814 3.8814 Å, 90.00 90.00 90.00°
Closest atoms and distances in Å follow each position.
Positions (direct):
Mn 0.5000 0.0000 0.0000  2 N 1.94
Mn 0.0000 0.0000 0.5000  2 N 1.94
Mn 0.0000 0.5000 0.0000  2 N 1.94
N 0.0000 0.0000 0.0000  6 Mn 1.94
Zr 0.5000 0.5000 0.5000  12 Mn 2.74